5
Lattice="1.8452 -10.1734 0.0000 1.8452 10.1734 0.0000 0.0000 0.0000 3.5859" Properties=species:S:1:pos:R:3 comment="Pr2DyZn2 PBE relaxed" magnetic_moment_mub_per_atom=0.001 formation_energy_mev_per_atom=-199 e_above_lowest_polymorph_ev_per_fu=0.000 space_group="Cmmm (65)" total_energy_ev_per_cell=-17.7 pbc="T T T"
Pr 1.8452 6.6318 0.0000
Pr 1.8452 -6.6318 0.0000
Dy 0.0000 0.0000 0.0000
Zn 1.8452 1.6430 1.7929
Zn 1.8452 -1.6430 1.7929

4
Lattice="1.8322 1.0578 10.6330 -1.8322 1.0578 10.6330 0.0000 -2.1157 10.6330" Properties=species:S:1:pos:R:3 comment="Pr2DyZn PBE relaxed" magnetic_moment_mub_per_atom=0.000 formation_energy_mev_per_atom=-18 e_above_lowest_polymorph_ev_per_fu=0.542 space_group="R-3m (166)" total_energy_ev_per_cell=-15.5 pbc="T T T"
Pr 0.0000 0.0000 7.6711
Pr 0.0000 0.0000 24.2280
Dy 0.0000 0.0000 0.0000
Zn 0.0000 0.0000 15.9495

6
Lattice="3.5849 0.0000 0.0000 0.0000 3.5849 0.0000 0.0000 0.0000 13.7266" Properties=species:S:1:pos:R:3 comment="PrDy4Zn PBE relaxed" magnetic_moment_mub_per_atom=0.000 formation_energy_mev_per_atom=-96 e_above_lowest_polymorph_ev_per_fu=0.000 space_group="P4/mmm (123)" total_energy_ev_per_cell=-25.0 pbc="T T T"
Pr 0.0000 0.0000 0.0000
Dy 0.0000 0.0000 5.1095
Dy 0.0000 0.0000 8.6171
Dy 1.7924 1.7924 2.5784
Dy 1.7924 1.7924 11.1483
Zn 1.7924 1.7924 6.8633